Below is an optimized crystal structure of Ca5Os, with properties calculated at the GGA-PBE level.

Energy above the most stable polymorph in this dataset = 0 meV per atom

Cell lengths 9.639, 9.639, 5.434 Å; angles 90.00, 90.00, 157.18 degrees
Positions (direct):
Ca1 0.492 0.508 0.500
Os1 0.109 0.891 0.500
Ca2 0.338 0.662 0.000
Ca3 0.736 0.264 0.500
Ca4 0.647 0.353 0.000
Ca5 0.012 0.988 0.000

***

Below is an optimized crystal structure of Ca4Os, with properties calculated at the GGA-PBE level.

Energy above the most stable polymorph in this dataset = 60 meV per atom

Cell lengths 6.011, 6.011, 6.011 Å; angles 109.47, 109.47, 109.47 degrees
Positions (direct):
Os1 0.000 0.000 0.000
Ca1 0.500 0.000 0.000
Ca2 0.000 0.000 0.500
Ca3 0.000 0.500 0.000
Ca4 0.500 0.500 0.500

***

Below is an optimized crystal structure of CaOs, with properties calculated at the GGA-PBE level.

Cell lengths 5.456, 5.456, 5.456 Å; angles 90.00, 90.00, 90.00 degrees
Positions (direct):
Ca1 0.904 0.096 0.596
Os1 0.394 0.894 0.606
Os2 0.606 0.394 0.894
Os3 0.894 0.606 0.394
Ca2 0.096 0.596 0.904
Ca3 0.596 0.904 0.096
Os4 0.106 0.106 0.106
Ca4 0.404 0.404 0.404

***

Below is an optimized crystal structure of CaOs3, with properties calculated at the GGA-PBE level.

Energy above the most stable polymorph in this dataset = 440 meV per atom

Cell lengths 4.027, 4.027, 4.027 Å; angles 90.00, 90.00, 90.00 degrees
Positions (direct):
Os1 0.000 0.500 0.500
Ca1 0.000 0.000 0.000
Os2 0.500 0.500 0.000
Os3 0.500 0.000 0.500

***

Below is an optimized crystal structure of CaOs3, with properties calculated at the GGA-PBE level.

Energy above the most stable polymorph in this dataset = 267 meV per atom

Cell lengths 4.498, 2.791, 5.478 Å; angles 77.58, 90.00, 90.00 degrees
Positions (direct):
Os1 0.500 0.327 0.285
Os2 0.500 0.673 0.715
Os3 0.000 0.500 0.500
Ca1 0.000 0.000 0.000

***

Below is an optimized crystal structure of CaOs, with properties calculated at the GGA-PBE level.

Cell lengths 5.709, 5.709, 8.203 Å; angles 71.95, 71.95, 29.38 degrees
Positions (direct):
Ca1 0.660 0.660 0.252
Os1 0.374 0.374 0.386
Os2 0.911 0.911 0.627
Ca2 0.646 0.646 0.650
Ca3 0.964 0.964 0.035
Os3 0.279 0.279 0.884

***

Below is an optimized crystal structure of CaOs, with properties calculated at the GGA-PBE level.

Cell lengths 3.191, 4.392, 6.900 Å; angles 90.00, 90.00, 90.00 degrees
Positions (direct):
Os1 0.500 0.000 0.596
Ca1 0.000 0.000 0.966
Ca2 0.000 0.500 0.368
Os2 0.500 0.500 0.737

***

Below is an optimized crystal structure of CaOs, with properties calculated at the GGA-PBE level.

Cell lengths 8.957, 4.176, 5.410 Å; angles 90.00, 90.00, 90.00 degrees
Positions (direct):
Os1 0.500 0.500 0.022
Os2 0.000 0.500 0.726
Os3 0.500 0.000 0.226
Ca1 0.703 0.500 0.505
Ca2 0.297 0.500 0.505
Os4 0.000 0.000 0.522
Ca3 0.797 0.000 0.005
Ca4 0.203 0.000 0.005

***

Below is an optimized crystal structure of CaOs, with properties calculated at the GGA-PBE level.

Cell lengths 4.166, 4.166, 4.166 Å; angles 60.00, 60.00, 60.00 degrees
Site moments in Bohr magnetons follow the coordinates.
Positions (direct):
Os1 0.500 0.500 0.500  1.89
Ca1 0.000 0.000 0.000  -0.03

***

Below is an optimized crystal structure of CaOs, with properties calculated at the GGA-PBE level.

Cell lengths 5.082, 5.082, 5.729 Å; angles 90.00, 90.00, 120.00 degrees
Site moments in Bohr magnetons follow the coordinates.
Positions (direct):
Os1 0.667 0.333 0.250  1.87
Ca1 0.333 0.667 0.250  -0.02
Os2 0.333 0.667 0.750  1.87
Ca2 0.667 0.333 0.750  -0.02

***

Below is an optimized crystal structure of CaOs, with properties calculated at the GGA-PBE level.

Cell lengths 2.991, 2.991, 4.837 Å; angles 90.00, 90.00, 120.00 degrees
Positions (direct):
Os1 0.667 0.333 0.500
Ca1 0.000 0.000 0.000

***

Below is an optimized crystal structure of Ca3Os2, with properties calculated at the GGA-PBE level.

Energy above the most stable polymorph in this dataset = 362 meV per atom

Cell lengths 12.548, 12.548, 12.548 Å; angles 14.79, 14.79, 14.79 degrees
Positions (direct):
Ca1 0.000 0.000 0.000
Ca2 0.214 0.214 0.214
Os1 0.395 0.395 0.395
Os2 0.605 0.605 0.605
Ca3 0.786 0.786 0.786

***

Below is an optimized crystal structure of Ca5Os, with properties calculated at the GGA-PBE level.

Energy above the most stable polymorph in this dataset = 565 meV per atom

Cell lengths 6.410, 6.410, 6.410 Å; angles 60.00, 60.00, 60.00 degrees
Positions (direct):
Ca1 0.627 0.627 0.119
Os1 0.000 0.000 0.000
Ca2 0.250 0.250 0.250
Ca3 0.119 0.627 0.627
Ca4 0.627 0.627 0.627
Ca5 0.627 0.119 0.627

***

Below is an optimized crystal structure of CaOs, with properties calculated at the GGA-PBE level.

Cell lengths 5.496, 14.675, 8.430 Å; angles 90.00, 90.00, 90.00 degrees
Positions (direct):
Os1 0.250 0.832 0.250
Ca1 0.750 0.250 0.584
Os2 0.250 0.332 0.750
Ca2 0.000 0.000 0.666
Ca3 0.750 0.250 0.916
Os3 0.500 0.582 0.000
Os4 0.000 0.918 0.000
Os5 0.750 0.668 0.750
Os6 0.750 0.832 0.750
Ca4 0.250 0.250 0.084
Ca5 0.000 0.500 0.166
Ca6 0.250 0.750 0.584
Ca7 0.750 0.750 0.084
Ca8 0.500 0.000 0.834
Ca9 0.750 0.750 0.416
Os7 0.500 0.418 0.000
Os8 0.000 0.082 0.000
Ca10 0.500 0.500 0.334
Ca11 0.000 0.500 0.834
Ca12 0.000 0.000 0.334
Ca13 0.250 0.250 0.416
Os9 0.750 0.168 0.250
Os10 0.250 0.168 0.750
Ca14 0.250 0.750 0.916
Os11 0.500 0.918 0.500
Ca15 0.500 0.000 0.166
Os12 0.000 0.582 0.500
Os13 0.500 0.082 0.500
Os14 0.250 0.668 0.250
Os15 0.750 0.332 0.250
Os16 0.000 0.418 0.500
Ca16 0.500 0.500 0.666

***

Below is an optimized crystal structure of CaOs, with properties calculated at the GGA-PBE level.

Cell lengths 5.867, 6.439, 2.941 Å; angles 76.80, 75.49, 51.47 degrees
Positions (direct):
Ca1 0.069 0.983 0.974
Ca2 0.848 0.600 0.776
Os1 0.435 0.142 0.211
Os2 0.482 0.441 0.539

***

Below is an optimized crystal structure of CaOs7, with properties calculated at the GGA-PBE level.

Cell lengths 5.548, 5.548, 5.548 Å; angles 60.00, 60.00, 60.00 degrees
Positions (direct):
Os1 0.500 0.000 0.500
Os2 0.000 0.500 0.500
Os3 0.000 0.500 0.000
Os4 0.000 0.000 0.500
Os5 0.500 0.500 0.000
Os6 0.500 0.500 0.500
Ca1 0.000 0.000 0.000
Os7 0.500 0.000 0.000

***

Below is an optimized crystal structure of CaOs4, with properties calculated at the GGA-PBE level.

Cell lengths 4.512, 4.512, 4.512 Å; angles 90.00, 90.00, 90.00 degrees
Positions (direct):
Ca1 0.500 0.500 0.500
Os1 0.000 0.500 0.500
Os2 0.500 0.500 0.000
Os3 0.500 0.000 0.500
Os4 0.000 0.000 0.000

***

Below is an optimized crystal structure of Ca3POs, with properties calculated at the GGA-PBE level.

Energy above the most stable polymorph in this dataset = 0 meV per atom

Cell lengths 5.308, 5.308, 5.308 Å; angles 90.00, 90.00, 90.00 degrees
Site moments in Bohr magnetons follow the coordinates.
Positions (direct):
Os1 0.500 0.500 0.500  1.49
Ca1 0.500 0.000 0.000  -0.04
P1 0.000 0.000 0.000  0.01
Ca2 0.000 0.500 0.000  -0.04
Ca3 0.000 0.000 0.500  -0.04

***

Below is an optimized crystal structure of CaPOs, with properties calculated at the GGA-PBE level.

Cell lengths 4.481, 4.481, 4.481 Å; angles 60.00, 60.00, 60.00 degrees
Positions (direct):
Os1 0.000 0.000 0.000
P1 0.500 0.500 0.500
Ca1 0.750 0.750 0.750

***

Below is an optimized crystal structure of CaPOs3, with properties calculated at the GGA-PBE level.

Energy above the most stable polymorph in this dataset = 2948 meV per atom

Cell lengths 4.657, 4.657, 4.657 Å; angles 90.00, 90.00, 90.00 degrees
Site moments in Bohr magnetons follow the coordinates.
Positions (direct):
Ca1 0.000 0.000 0.000  -0.01
Os1 0.500 0.000 0.000  0.31
P1 0.500 0.500 0.500  -0.04
Os2 0.000 0.000 0.500  0.25
Os3 0.000 0.500 0.000  0.34

***

Below is an optimized crystal structure of Ca2P2Os, with properties calculated at the GGA-PBE level.

Energy above the most stable polymorph in this dataset = 0 meV per atom

Cell lengths 6.286, 6.286, 4.568 Å; angles 90.00, 90.00, 90.00 degrees
Positions (direct):
P1 0.867 0.633 0.000
Os1 0.000 0.000 0.000
P2 0.133 0.367 0.000
Ca1 0.680 0.820 0.500
Os2 0.500 0.500 0.000
Ca2 0.180 0.680 0.500
P3 0.633 0.133 0.000
P4 0.367 0.867 0.000
Ca3 0.820 0.320 0.500
Ca4 0.320 0.180 0.500

***

Below is an optimized crystal structure of CaPOs, with properties calculated at the GGA-PBE level.

Cell lengths 4.077, 4.077, 7.002 Å; angles 90.00, 90.00, 90.00 degrees
Positions (direct):
Ca1 0.500 0.000 0.167
Os1 0.000 0.000 0.500
P1 0.500 0.000 0.677
Ca2 0.000 0.500 0.833
Os2 0.500 0.500 0.500
P2 0.000 0.500 0.323

***

Below is an optimized crystal structure of CaPOs3, with properties calculated at the GGA-PBE level.

Energy above the most stable polymorph in this dataset = 0 meV per atom

Cell lengths 4.445, 4.445, 4.445 Å; angles 90.00, 90.00, 90.00 degrees
Positions (direct):
Os1 0.000 0.000 0.500
Os2 0.000 0.500 0.000
Ca1 0.500 0.500 0.500
P1 0.000 0.000 0.000
Os3 0.500 0.000 0.000

***

Below is an optimized crystal structure of CaPOs, with properties calculated at the GGA-PBE level.

Cell lengths 5.899, 5.899, 3.099 Å; angles 74.77, 74.77, 30.46 degrees
Positions (direct):
Os1 0.295 0.295 0.705
Ca1 0.004 0.004 0.996
P1 0.701 0.701 0.299

***

Below is an optimized crystal structure of CaPOs, with properties calculated at the GGA-PBE level.

Cell lengths 4.305, 4.305, 4.305 Å; angles 60.00, 60.00, 60.00 degrees
Site moments in Bohr magnetons follow the coordinates.
Positions (direct):
Os1 0.500 0.500 0.500  1.03
Ca1 0.000 0.000 0.000  0.04
P1 0.750 0.750 0.750  0.04

***

Below is an optimized crystal structure of Ca4POs, with properties calculated at the GGA-PBE level.

Cell lengths 5.893, 5.893, 5.893 Å; angles 60.00, 60.00, 60.00 degrees
Site moments in Bohr magnetons follow the coordinates.
Positions (direct):
Os1 0.750 0.750 0.750  0.29
Ca1 0.873 0.376 0.376  0.01
P1 0.000 0.000 0.000  0.02
Ca2 0.376 0.376 0.873  0.01
Ca3 0.376 0.376 0.376  0.01
Ca4 0.376 0.873 0.376  0.01

***

Below is an optimized crystal structure of Ca2P2Os, with properties calculated at the GGA-PBE level.

Energy above the most stable polymorph in this dataset = 1246 meV per atom

Cell lengths 4.470, 4.470, 6.182 Å; angles 68.81, 68.81, 90.00 degrees
Positions (direct):
P1 0.404 0.404 0.191
Ca1 0.750 0.250 0.500
P2 0.596 0.596 0.809
Os1 0.000 0.000 0.000
Ca2 0.250 0.750 0.500

***

Number 1: formation energy from the elements 346 meV per atom. Number 2: formation energy from the elements 351 meV per atom. Number 3: formation energy from the elements 1128 meV per atom. Number 4: formation energy from the elements 884 meV per atom. Number 5: formation energy from the elements 711 meV per atom. Number 6: formation energy from the elements 407 meV per atom. Number 7: formation energy from the elements 506 meV per atom. Number 8: formation energy from the elements 368 meV per atom. Number 9: formation energy from the elements 1717 meV per atom. Number 10: formation energy from the elements 2070 meV per atom. Number 11: formation energy from the elements 822 meV per atom. Number 12: formation energy from the elements 751 meV per atom. Number 13: formation energy from the elements 911 meV per atom. Number 14: formation energy from the elements 407 meV per atom. Number 15: formation energy from the elements 450 meV per atom. Number 16: formation energy from the elements 495 meV per atom. Number 17: formation energy from the elements 3495 meV per atom. Number 18: formation energy from the elements 362 meV per atom. Number 19: formation energy from the elements 1296 meV per atom. Number 20: formation energy from the elements 3422 meV per atom. Number 21: formation energy from the elements -694 meV per atom. Number 22: formation energy from the elements -598 meV per atom. Number 23: formation energy from the elements 475 meV per atom. Number 24: formation energy from the elements -378 meV per atom. Number 25: formation energy from the elements 154 meV per atom. Number 26: formation energy from the elements 920 meV per atom. Number 27: formation energy from the elements 552 meV per atom.